# 1
CeGeH | PBE | optimized geometry

a b c (Å): 6.027 6.027 7.568
angles (deg): 113.92 126.67 74.99
Element x y z (fractional)
1 Ge 0.959 0.169 0.080
2 Ge 0.161 0.870 0.580
3 Ge 0.164 0.805 0.920
4 Ge 0.366 0.506 0.420
5 Ce 0.753 0.678 0.000
6 Ce 0.952 0.377 0.500
7 Ce 0.373 0.298 0.000
8 Ce 0.572 0.997 0.500
9 H 0.887 0.332 0.758
10 H 0.676 0.621 0.258
11 H 0.649 0.054 0.242
12 H 0.438 0.343 0.742

Results
The density of states at the Fermi level comes out at 4.935 states/eV/f.u. The space group is C2/c, No. 15. The calculation puts the calculated total energy at -5.24 eV/atom. Its mass density is 7.0 g cm⁻³.

# 2
Na2VMo | PBE | optimized geometry

a b c (Å): 8.281 8.281 6.358
angles (deg): 49.37 49.37 90.00
Element x y z (fractional)
1 Mo 0.000 0.000 0.000
2 Mo 0.750 0.250 0.500
3 Na 0.875 0.867 0.750
4 Na 0.617 0.125 0.250
5 Na 0.375 0.383 0.750
6 Na 0.133 0.625 0.250
7 V 0.500 0.500 0.000
8 V 0.250 0.750 0.500

Results
The density of states at the Fermi level comes out at 1.838 states/eV/f.u. The space group is I-42d, No. 122. The calculation puts the calculated total energy at -4.28 eV/atom. Its mass density is 3.8 g cm⁻³.